# 1
Computed, not measured: BaAcCu2 after structural relaxation at the PBE level of DFT.

Computed properties:
**Uncorrected energy**: -14.3 eV for the cell shown
**Formation enthalpy at 0 K**: -0.022 eV per atom
**Excess energy over the best structure of this formula in the dataset**: 0.0000 eV per atom

Unit cell a=3.889 b=3.889 c=7.753 alpha=90.00 beta=90.00 gamma=90.00
Fractional coordinates of all 4 atoms:
Ac (0.500, 0.500, 0.000)
Ba (0.500, 0.500, 0.500)
Cu (0.000, 0.000, 0.794)
Cu (0.000, 0.000, 0.206)

# 2
Computed, not measured: ScCrCo4 after structural relaxation at the PBE level of DFT.

Computed properties:
**Uncorrected energy**: -44.7 eV for the cell shown
**Formation enthalpy at 0 K**: -0.059 eV per atom

Unit cell a=4.808 b=4.808 c=4.808 alpha=60.00 beta=60.00 gamma=60.00
Site moments in Bohr magnetons follow the coordinates.
Fractional coordinates of all 6 atoms:
Sc (0.000, 0.000, 0.000)  -0.17
Cr (0.750, 0.750, 0.750)  2.98
Co (0.375, 0.874, 0.375)  1.54
Co (0.874, 0.375, 0.375)  1.54
Co (0.375, 0.375, 0.874)  1.54
Co (0.375, 0.375, 0.375)  1.54

# 3
Computed, not measured: CaZnTc2 after structural relaxation at the PBE level of DFT.

Computed properties:
**Uncorrected energy**: -22.9 eV for the cell shown
**Formation enthalpy at 0 K**: 0.282 eV per atom

Unit cell a=4.626 b=4.626 c=4.626 alpha=124.24 beta=117.66 gamma=88.46
Fractional coordinates of all 4 atoms:
Zn (0.486, 0.486, 0.000)
Ca (0.754, 0.254, 0.500)
Tc (0.030, 0.030, 0.000)
Tc (0.230, 0.730, 0.500)

no.,calculated volume (Å³ per atom)
1,29.32
2,13.10
3,17.17